Material: CdBRh3
Method: DFT, GGA-PBEsol
State: optimized geometry

- E above lowest polymorph (eV per atom) = 0.000
- DFT total energy (eV per atom) = -6.7432
- DOS at the Fermi energy (states/eV/f.u.) = 5.521
- formation energy from the elements (eV per atom) = -0.22
- size of the total moment (μB/f.u.) = 0.00
- volume (Å³ per atom) = 13.30

Structure (CIF):
```
data_CdBRh3
_cell_length_a 9.039
_cell_length_b 9.039
_cell_length_c 5.318
_cell_angle_alpha 93.66
_cell_angle_beta 93.66
_cell_angle_gamma 17.87
_symmetry_space_group_name_H-M 'P 1'
_symmetry_Int_Tables_number 1
_symmetry_space_group_name_Hall 'P 1'
loop_
_atom_site_label
_atom_site_fract_x
_atom_site_fract_y
_atom_site_fract_z
Cd1 0.072 0.072 0.348
Cd2 0.928 0.928 0.652
B1 0.145 0.145 0.853
B2 0.855 0.855 0.147
Rh1 0.303 0.303 0.882
Rh2 0.307 0.307 0.392
Rh3 0.442 0.442 0.144
Rh4 0.558 0.558 0.856
Rh5 0.693 0.693 0.608
Rh6 0.697 0.697 0.118
```

=====

Material: SiAg2P2
Method: DFT, GGA-PBEsol
State: optimized geometry

- DFT total energy (eV per atom) = -4.8712
- DOS at the Fermi energy (states/eV/f.u.) = 0.057
- formation energy without anion corrections (kJ per mole of atoms) = -7.8
- size of the total moment (μB/f.u.) = 0.00
- volume (Å³ per atom) = 17.76

Structure (CIF):
```
data_SiAg2P2
_cell_length_a 6.225
_cell_length_b 6.225
_cell_length_c 6.225
_cell_angle_alpha 116.95
_cell_angle_beta 116.95
_cell_angle_gamma 95.36
_symmetry_space_group_name_H-M 'P 1'
_symmetry_Int_Tables_number 1
_symmetry_space_group_name_Hall 'P 1'
loop_
_atom_site_label
_atom_site_fract_x
_atom_site_fract_y
_atom_site_fract_z
Si1 0.000 0.000 0.000
Si2 0.750 0.250 0.500
Ag1 0.322 0.625 0.197
Ag2 0.375 0.572 0.697
Ag3 0.428 0.125 0.803
Ag4 0.875 0.678 0.303
P1 0.049 0.125 0.424
P2 0.375 0.951 0.076
P3 0.701 0.625 0.576
P4 0.875 0.299 0.924
```

=====

Material: Li2TiFe2O5
Method: DFT, GGA-PBEsol
State: optimized geometry

- E above lowest polymorph (eV per atom) = 0.020
- DFT total energy (eV per atom) = -7.5586
- DOS at the Fermi energy (states/eV/f.u.) = 1.947
- formation energy without anion corrections (kJ per mole of atoms) = -184.8
- size of the total moment (μB/f.u.) = 8.01
- volume (Å³ per atom) = 8.72

Structure (CIF):
```
data_Li2TiFe2O5
_cell_length_a 4.136
_cell_length_b 4.956
_cell_length_c 9.364
_cell_angle_alpha 91.31
_cell_angle_beta 90.53
_cell_angle_gamma 114.63
_symmetry_space_group_name_H-M 'P 1'
_symmetry_Int_Tables_number 1
_symmetry_space_group_name_Hall 'P 1'
loop_
_atom_site_label
_atom_site_fract_x
_atom_site_fract_y
_atom_site_fract_z
Li1 0.099 0.189 0.295
Li2 0.300 0.601 0.897
Li3 0.700 0.399 0.103
Li4 0.901 0.811 0.705
Ti1 0.392 0.788 0.191
Ti2 0.608 0.212 0.809
Fe1 0.000 0.000 0.000
Fe2 0.195 0.428 0.589
Fe3 0.500 0.000 0.500
Fe4 0.805 0.572 0.411
O1 0.000 0.000 0.500
O2 0.098 0.207 0.801
O3 0.208 0.413 0.100
O4 0.311 0.594 0.381
O5 0.406 0.823 0.704
O6 0.500 0.000 0.000
O7 0.594 0.177 0.296
O8 0.689 0.406 0.619
O9 0.792 0.587 0.900
O10 0.902 0.793 0.199
```

=====

Material: Cr2IrPt
Method: DFT, GGA-PBEsol
State: optimized geometry

- DFT total energy (eV per atom) = -9.5468
- DOS at the Fermi energy (states/eV/f.u.) = 2.978
- formation energy from the elements (eV per atom) = -0.23
- size of the total moment (μB/f.u.) = 0.00
- volume (Å³ per atom) = 12.81

Structure (CIF):
```
data_Cr2IrPt
_cell_length_a 2.643
_cell_length_b 4.192
_cell_length_c 4.626
_cell_angle_alpha 90.00
_cell_angle_beta 90.00
_cell_angle_gamma 90.00
_symmetry_space_group_name_H-M 'P 1'
_symmetry_Int_Tables_number 1
_symmetry_space_group_name_Hall 'P 1'
loop_
_atom_site_label
_atom_site_fract_x
_atom_site_fract_y
_atom_site_fract_z
Cr1 0.000 0.000 0.000
Cr2 0.000 0.500 0.319
Ir1 0.500 0.500 0.843
Pt1 0.500 0.000 0.483
```

=====

Material: RbGa2Ge2
Method: DFT, GGA-PBEsol
State: optimized geometry

- DFT total energy (eV per atom) = -3.6369
- DOS at the Fermi energy (states/eV/f.u.) = 1.025
- formation energy from the elements (eV per atom) = -0.12
- size of the total moment (μB/f.u.) = 0.00
- volume (Å³ per atom) = 22.36

Structure (CIF):
```
data_RbGa2Ge2
_cell_length_a 4.691
_cell_length_b 4.691
_cell_length_c 10.161
_cell_angle_alpha 90.00
_cell_angle_beta 90.00
_cell_angle_gamma 90.00
_symmetry_space_group_name_H-M 'P 1'
_symmetry_Int_Tables_number 1
_symmetry_space_group_name_Hall 'P 1'
loop_
_atom_site_label
_atom_site_fract_x
_atom_site_fract_y
_atom_site_fract_z
Rb1 0.000 0.000 0.000
Rb2 0.500 0.500 0.500
Ga1 0.000 0.500 0.250
Ga2 0.000 0.500 0.750
Ga3 0.500 0.000 0.250
Ga4 0.500 0.000 0.750
Ge1 0.000 0.000 0.373
Ge2 0.000 0.000 0.627
Ge3 0.500 0.500 0.127
Ge4 0.500 0.500 0.873
```

=====

Material: CoReCl2
Method: DFT, GGA-PBEsol
State: optimized geometry

- E above lowest polymorph (eV per atom) = 0.351
- DFT total energy (eV per atom) = -5.5269
- DOS at the Fermi energy (states/eV/f.u.) = 5.377
- formation energy without anion corrections (kJ per mole of atoms) = 71.8
- size of the total moment (μB/f.u.) = 1.53
- volume (Å³ per atom) = 14.57

Structure (CIF):
```
data_CoReCl2
_cell_length_a 2.811
_cell_length_b 5.310
_cell_length_c 7.811
_cell_angle_alpha 90.00
_cell_angle_beta 90.00
_cell_angle_gamma 90.00
_symmetry_space_group_name_H-M 'P 1'
_symmetry_Int_Tables_number 1
_symmetry_space_group_name_Hall 'P 1'
loop_
_atom_site_label
_atom_site_fract_x
_atom_site_fract_y
_atom_site_fract_z
Co1 0.000 0.000 0.000
Co2 0.500 0.500 0.000
Re1 0.000 0.000 0.500
Re2 0.500 0.500 0.500
Cl1 0.000 0.500 0.241
Cl2 0.000 0.500 0.759
Cl3 0.500 0.000 0.241
Cl4 0.500 0.000 0.759
```

=====

Material: LiLuIn2
Method: DFT, GGA-PBEsol
State: optimized geometry

- DFT total energy (eV per atom) = -3.5986
- DOS at the Fermi energy (states/eV/f.u.) = 0.965
- formation energy from the elements (eV per atom) = -0.40
- size of the total moment (μB/f.u.) = 0.00
- volume (Å³ per atom) = 21.90

Structure (CIF):
```
data_LiLuIn2
_cell_length_a 7.050
_cell_length_b 7.050
_cell_length_c 7.050
_cell_angle_alpha 90.00
_cell_angle_beta 90.00
_cell_angle_gamma 90.00
_symmetry_space_group_name_H-M 'P 1'
_symmetry_Int_Tables_number 1
_symmetry_space_group_name_Hall 'P 1'
loop_
_atom_site_label
_atom_site_fract_x
_atom_site_fract_y
_atom_site_fract_z
Li1 0.000 0.000 0.000
Li2 0.000 0.500 0.500
Li3 0.500 0.000 0.500
Li4 0.500 0.500 0.000
Lu1 0.000 0.000 0.500
Lu2 0.000 0.500 0.000
Lu3 0.500 0.000 0.000
Lu4 0.500 0.500 0.500
In1 0.250 0.250 0.250
In2 0.250 0.250 0.750
In3 0.250 0.750 0.250
In4 0.250 0.750 0.750
In5 0.750 0.250 0.250
In6 0.750 0.250 0.750
In7 0.750 0.750 0.250
In8 0.750 0.750 0.750
```

=====

Material: AlSiSbH2
Method: DFT, GGA-PBEsol
State: optimized geometry

- DFT total energy (eV per atom) = -3.8898
- DOS at the Fermi energy (states/eV/f.u.) = 1.588
- size of the total moment (μB/f.u.) = 0.00
- volume (Å³ per atom) = 14.59

Structure (CIF):
```
data_AlSiSbH2
_cell_length_a 3.687
_cell_length_b 3.687
_cell_length_c 5.367
_cell_angle_alpha 90.00
_cell_angle_beta 90.00
_cell_angle_gamma 90.00
_symmetry_space_group_name_H-M 'P 1'
_symmetry_Int_Tables_number 1
_symmetry_space_group_name_Hall 'P 1'
loop_
_atom_site_label
_atom_site_fract_x
_atom_site_fract_y
_atom_site_fract_z
Al1 0.000 0.000 0.000
Si1 0.000 0.000 0.500
Sb1 0.500 0.500 0.500
H1 0.000 0.500 0.000
H2 0.500 0.000 0.000
```

=====

Material: KTaAg2
Method: DFT, GGA-PBEsol
State: optimized geometry

- E above lowest polymorph (eV per atom) = 0.000
- DFT total energy (eV per atom) = -4.4541
- DOS at the Fermi energy (states/eV/f.u.) = 2.623
- formation energy from the elements (eV per atom) = 0.62
- size of the total moment (μB/f.u.) = 0.00
- volume (Å³ per atom) = 23.12

Structure (CIF):
```
data_KTaAg2
_cell_length_a 9.070
_cell_length_b 2.751
_cell_length_c 7.432
_cell_angle_alpha 90.00
_cell_angle_beta 93.98
_cell_angle_gamma 90.00
_symmetry_space_group_name_H-M 'P 1'
_symmetry_Int_Tables_number 1
_symmetry_space_group_name_Hall 'P 1'
loop_
_atom_site_label
_atom_site_fract_x
_atom_site_fract_y
_atom_site_fract_z
K1 0.000 0.000 0.000
K2 0.500 0.500 0.000
Ta1 0.000 0.500 0.500
Ta2 0.500 0.000 0.500
Ag1 0.244 0.000 0.675
Ag2 0.256 0.500 0.325
Ag3 0.744 0.500 0.675
Ag4 0.756 0.000 0.325
```

=====

Material: TaMnPt2
Method: DFT, GGA-PBEsol
State: optimized geometry

- DFT total energy (eV per atom) = -9.5537
- DOS at the Fermi energy (states/eV/f.u.) = 2.306
- formation energy from the elements (eV per atom) = -0.49
- size of the total moment (μB/f.u.) = 3.22
- volume (Å³ per atom) = 14.88

Structure (CIF):
```
data_TaMnPt2
_cell_length_a 2.786
_cell_length_b 3.907
_cell_length_c 5.467
_cell_angle_alpha 90.00
_cell_angle_beta 90.00
_cell_angle_gamma 90.00
_symmetry_space_group_name_H-M 'P 1'
_symmetry_Int_Tables_number 1
_symmetry_space_group_name_Hall 'P 1'
loop_
_atom_site_label
_atom_site_fract_x
_atom_site_fract_y
_atom_site_fract_z
Ta1 0.000 0.000 0.000
Mn1 0.000 0.000 0.500
Pt1 0.500 0.500 0.255
Pt2 0.500 0.500 0.745
```

=====

Material: KHg3
Method: DFT, GGA-PBEsol
State: optimized geometry

- DFT total energy (eV per atom) = -0.9116
- DOS at the Fermi energy (states/eV/f.u.) = 1.482
- formation energy from the elements (eV per atom) = -0.20
- size of the total moment (μB/f.u.) = 0.00
- volume (Å³ per atom) = 27.77

Structure (CIF):
```
data_KHg3
_cell_length_a 6.784
_cell_length_b 15.785
_cell_length_c 6.224
_cell_angle_alpha 90.00
_cell_angle_beta 90.00
_cell_angle_gamma 90.00
_symmetry_space_group_name_H-M 'P 1'
_symmetry_Int_Tables_number 1
_symmetry_space_group_name_Hall 'P 1'
loop_
_atom_site_label
_atom_site_fract_x
_atom_site_fract_y
_atom_site_fract_z
K1 0.250 0.084 0.129
K2 0.250 0.416 0.129
K3 0.250 0.750 0.127
K4 0.750 0.250 0.873
K5 0.750 0.584 0.871
K6 0.750 0.916 0.871
Hg1 0.010 0.083 0.645
Hg2 0.010 0.417 0.645
Hg3 0.013 0.750 0.642
Hg4 0.250 0.250 0.763
Hg5 0.250 0.583 0.764
Hg6 0.250 0.917 0.764
Hg7 0.487 0.750 0.642
Hg8 0.490 0.083 0.645
Hg9 0.490 0.417 0.645
Hg10 0.510 0.583 0.355
Hg11 0.510 0.917 0.355
Hg12 0.513 0.250 0.358
Hg13 0.750 0.083 0.236
Hg14 0.750 0.417 0.236
Hg15 0.750 0.750 0.237
Hg16 0.987 0.250 0.358
Hg17 0.990 0.583 0.355
Hg18 0.990 0.917 0.355
```

=====

Material: LaMgSi3
Method: DFT, GGA-PBEsol
State: optimized geometry

- DFT total energy (eV per atom) = -4.5294
- DOS at the Fermi energy (states/eV/f.u.) = 2.164
- formation energy without anion corrections (kJ per mole of atoms) = 32.0
- size of the total moment (μB/f.u.) = 0.00
- volume (Å³ per atom) = 22.39

Structure (CIF):
```
data_LaMgSi3
_cell_length_a 4.819
_cell_length_b 4.819
_cell_length_c 4.819
_cell_angle_alpha 90.00
_cell_angle_beta 90.00
_cell_angle_gamma 90.00
_symmetry_space_group_name_H-M 'P 1'
_symmetry_Int_Tables_number 1
_symmetry_space_group_name_Hall 'P 1'
loop_
_atom_site_label
_atom_site_fract_x
_atom_site_fract_y
_atom_site_fract_z
La1 0.000 0.000 0.000
Mg1 0.500 0.500 0.500
Si1 0.000 0.500 0.500
Si2 0.500 0.000 0.500
Si3 0.500 0.500 0.000
```